VASP calculation (GGA-PBE) on a geometry-optimized Pu2Br3N structure.

Cell lengths 3.9313, 9.3822, 10.1103 Å; angles 72.03, 78.79, 77.91 degrees
Closest atoms and distances in Å follow each position.
Fractional positions:
Br  0.0370  0.1640  0.7620  3 Pu 2.95-2.99
Br  0.6677  0.6725  0.9921  3 Pu 3.04-3.08
Br  0.3323  0.3275  0.0079  3 Pu 3.04-3.08
Br  0.2181  0.1847  0.3791  3 Pu 2.96-3.01
Br  0.9630  0.8360  0.2380  3 Pu 2.95-2.99
Br  0.7819  0.8153  0.6209  3 Pu 2.96-3.01
Pu  0.4242  0.6947  0.4570  2 N 2.23-2.25
Pu  0.5758  0.3053  0.5430  2 N 2.23-2.25
Pu  0.8681  0.4842  0.7796  2 N 2.36
Pu  0.1319  0.5158  0.2204  2 N 2.36
N  0.4296  0.4943  0.6465  4 Pu 2.23-2.36
N  0.5704  0.5057  0.3535  4 Pu 2.23-2.36

Values from the calculation:
total moment: 20.000 μB/cell
energy relative to the elements, uncorrected: -1.512 eV per atom
total DFT energy (no corrections): -8.51 eV/atom
symmetry: C2/m, No. 12

VASP calculation (GGA-PBE) on a geometry-optimized Pu2BrN2 structure.

Cell lengths 3.9120, 3.9120, 7.0927 Å; angles 106.77, 106.77, 89.99 degrees
Closest atoms and distances in Å follow each position.
Fractional positions:
Br  0.0000  0.0000  0.0000  8 Pu 3.46-3.56, 8 N 3.76-3.81
Pu  0.6624  0.6624  0.3331  4 N 2.23-2.24
Pu  0.3376  0.3376  0.6669  4 N 2.23-2.24
N  0.7499  0.2501  0.5000  4 Pu 2.23-2.24
N  0.2501  0.7499  0.5000  4 Pu 2.23-2.24

Values from the calculation:
total moment: 9.000 μB/cell
energy relative to the elements, uncorrected: -1.366 eV per atom
total DFT energy (no corrections): -10.76 eV/atom
excess energy over the best structure of this formula in the dataset: 53 meV/atom
symmetry: C2/m, No. 12

VASP calculation (GGA-PBE) on a geometry-optimized Pu2BrN2 structure.

Cell lengths 3.8448, 3.8451, 7.4304 Å; angles 90.02, 90.00, 120.00 degrees
Closest atoms and distances in Å follow each position.
Fractional positions:
Pu  0.1668  0.8335  0.6825  4 N 2.24-2.27
Pu  0.8332  0.1665  0.3175  4 N 2.24-2.27
N  0.8334  0.1669  0.6185  4 Pu 2.24-2.27
N  0.1666  0.8331  0.3815  4 Pu 2.24-2.27
Br  0.5000  0.5000  0.0000  6 Pu 3.24, 6 N 3.60

Values from the calculation:
total moment: 9.000 μB/cell
energy relative to the elements, uncorrected: -1.418 eV per atom
total DFT energy (no corrections): -10.82 eV/atom
excess energy over the best structure of this formula in the dataset: 0 meV/atom
symmetry: P-3m1, No. 164

VASP calculation (GGA-PBE) on a geometry-optimized Pu3BrN3 structure.

Cell lengths 6.6530, 6.6530, 8.3185 Å; angles 66.43, 66.43, 60.00 degrees
Closest atoms and distances in Å follow each position.
Fractional positions:
Pu  0.8951  0.2305  0.3173  4 N 2.24-2.27
Pu  0.2305  0.5570  0.3173  4 N 2.24-2.27
Pu  0.1049  0.7695  0.6827  4 N 2.24-2.27
Pu  0.7695  0.4430  0.6827  4 N 2.24-2.27
Pu  0.4430  0.1049  0.6827  4 N 2.24-2.27
Pu  0.5570  0.8951  0.3173  4 N 2.24-2.27
N  0.8720  0.5439  0.3792  4 Pu 2.24-2.27
N  0.1280  0.4561  0.6208  4 Pu 2.24-2.27
N  0.7951  0.1280  0.6208  4 Pu 2.24-2.27
N  0.5439  0.2049  0.3792  4 Pu 2.24-2.27
N  0.4561  0.7951  0.6208  4 Pu 2.24-2.27
N  0.2049  0.8720  0.3792  4 Pu 2.24-2.27
Br  0.3332  0.3332  0.0003  6 Pu 3.21-3.22, 6 N 3.57-3.58
Br  0.6668  0.6668  0.9997  6 Pu 3.21-3.22, 6 N 3.57-3.58

Values from the calculation:
total moment: 28.000 μB/cell
energy relative to the elements, uncorrected: -1.316 eV per atom
total DFT energy (no corrections): -11.27 eV/atom
symmetry: R-3, No. 148

VASP calculation (GGA-PBE) on a geometry-optimized Pu2Br2N structure.

Cell lengths 3.8810, 7.2430, 10.5914 Å; angles 98.24, 100.56, 90.00 degrees
Closest atoms and distances in Å follow each position.
Fractional positions:
Pu  0.8173  0.1253  0.6346  1 N 2.18
Pu  0.6802  0.4355  0.3604  3 N 2.24-2.34
Pu  0.1827  0.8747  0.3654  1 N 2.18
Pu  0.3198  0.5645  0.6396  3 N 2.24-2.34
Br  0.5854  0.7114  0.1708  3 Pu 2.93-3.01
Br  0.4146  0.2886  0.8292  3 Pu 2.93-3.01
Br  0.0997  0.1829  0.1994  3 Pu 3.00-3.02
Br  0.9003  0.8171  0.8006  3 Pu 3.00-3.02
N  0.7851  0.3992  0.5703  4 Pu 2.18-2.34
N  0.2149  0.6008  0.4297  4 Pu 2.18-2.34

Values from the calculation:
total moment: 22.002 μB/cell
energy relative to the elements, uncorrected: -1.289 eV per atom
total DFT energy (no corrections): -9.36 eV/atom
symmetry: C2/m, No. 12

VASP calculation (GGA-PBE) on a geometry-optimized PuBr4N structure.

Cell lengths 7.7173, 7.0560, 9.3022 Å; angles 112.29, 103.97, 90.01 degrees
Closest atoms and distances in Å follow each position.
Fractional positions:
Br  0.4536  0.5022  0.2088  1 Pu 2.65
Br  0.9536  0.7066  0.2088  1 Pu 2.65
Br  0.6555  0.1203  0.3919  2 Pu 2.86
Br  0.3445  0.8797  0.6081  2 Pu 2.86
Br  0.1555  0.2717  0.3919  2 Pu 2.86
Br  0.8445  0.7283  0.6081  2 Pu 2.86
Br  0.0464  0.2934  0.7912  1 Pu 2.65
Br  0.5464  0.4978  0.7912  1 Pu 2.65
Pu  0.0000  0.0000  0.5000  6 Br 2.65-2.86
Pu  0.5000  0.5000  0.5000  6 Br 2.65-2.86
N  0.7500  0.1021  0.0000  10 Br 3.84-4.08, 2 N 4.12
N  0.2500  0.8979  0.0000  10 Br 3.84-4.08, 2 N 4.12

Values from the calculation:
total moment: 2.000 μB/cell
energy relative to the elements, uncorrected: -0.167 eV per atom
total DFT energy (no corrections): -5.06 eV/atom
symmetry: C2/c, No. 15